Density functional theory data (PBE) for an optimized crystal structure of PaInBi2N.

Calculated values
energy relative to the elements, uncorrected	-0.631	eV per atom
density	9.2	Mg/m³
M_tot	0.000	μB/atom
calculated total energy	-6.30	eV/atom

a = 3.9503 Å, b = 3.9503 Å, c = 17.9460 Å
α = 90.00°, β = 90.00°, γ = 90.00°
Closest atoms and distances in Å follow each position.
Sites, in units of the cell vectors:
Pa1 0.0000 0.5000 0.4356  4 N 2.29
Pa2 0.5000 0.0000 0.5644  4 N 2.29
Bi1 0.5000 0.0000 0.9442  4 In 3.32, 4 Bi 3.44
Bi2 0.5000 0.0000 0.3270  1 In 3.06, 4 Pa 3.41
Bi3 0.0000 0.5000 0.0558  4 In 3.32, 4 Bi 3.44
Bi4 0.0000 0.5000 0.6730  1 In 3.06, 4 Pa 3.41
N1 0.5000 0.5000 0.5000  4 Pa 2.29
N2 0.0000 0.0000 0.5000  4 Pa 2.29
In1 0.5000 0.0000 0.1562  5 Bi 3.06-3.32
In2 0.0000 0.5000 0.8438  5 Bi 3.06-3.32


Density functional theory data (PBE) for an optimized crystal structure of In2BiPbN.

Calculated values
energy relative to the elements, uncorrected	1.638	eV per atom
density	5.0	Mg/m³
M_tot	0.108	μB/atom
calculated total energy	-2.64	eV/atom

a = 5.8564 Å, b = 6.3408 Å, c = 5.8564 Å
α = 90.00°, β = 90.00°, γ = 90.00°
Closest atoms and distances in Å follow each position.
Sites, in units of the cell vectors:
Pb1 0.0000 0.5000 0.0000  2 Bi 3.17
N1 0.5000 0.5000 0.5000  4 Pb 4.14, 8 In 4.32
In1 0.5000 0.0000 0.0000  2 Bi 2.93
In2 0.0000 0.0000 0.5000  2 Bi 2.93
Bi1 0.0000 0.0000 0.0000  4 In 2.93, 2 Pb 3.17


Density functional theory data (PBE) for an optimized crystal structure of PuInBiN.

Calculated values
energy relative to the elements, uncorrected	-0.396	eV per atom
density	10.1	Mg/m³
M_tot	1.182	μB/atom
calculated total energy	-7.72	eV/atom

a = 3.2270 Å, b = 3.2270 Å, c = 9.4927 Å
α = 99.79°, β = 99.79°, γ = 90.00°
Closest atoms and distances in Å follow each position.
Sites, in units of the cell vectors:
Bi1 0.5439 0.5439 0.0878  4 Bi 3.23, 1 N 3.46
Pu1 0.8880 0.8880 0.7760  4 N 2.36
In1 0.2242 0.2242 0.4484  1 N 2.43
N1 0.3560 0.3560 0.7120  4 Pu 2.36, 1 In 2.43


Density functional theory data (PBE) for an optimized crystal structure of InBiRhN2.

Calculated values
energy relative to the elements, uncorrected	1.142	eV per atom
density	8.4	Mg/m³
M_tot	0.186	μB/atom
calculated total energy	-4.98	eV/atom

a = 4.0289 Å, b = 5.5552 Å, c = 4.0289 Å
α = 90.00°, β = 90.00°, γ = 90.00°
Closest atoms and distances in Å follow each position.
Sites, in units of the cell vectors:
Bi1 0.5000 0.5000 0.5000  4 In 2.85
N1 0.5000 0.0000 0.0000  2 Rh 2.01
N2 0.0000 0.0000 0.5000  2 Rh 2.01
Rh1 0.0000 0.0000 0.0000  4 N 2.01
In1 0.0000 0.5000 0.0000  2 Rh 2.78, 4 Bi 2.85


Density functional theory data (PBE) for an optimized crystal structure of InBiSb2N.

Calculated values
energy relative to the elements, uncorrected	1.990	eV per atom
density	4.8	Mg/m³
M_tot	0.000	μB/atom
calculated total energy	-2.65	eV/atom

a = 5.7827 Å, b = 6.0690 Å, c = 5.7827 Å
α = 90.00°, β = 90.00°, γ = 90.00°
Closest atoms and distances in Å follow each position.
Sites, in units of the cell vectors:
In1 0.0000 0.5000 0.0000  2 Bi 3.03
N1 0.5000 0.5000 0.5000  4 In 4.09, 8 Sb 4.19
Bi1 0.0000 0.0000 0.0000  4 Sb 2.89, 2 In 3.03
Sb1 0.0000 0.0000 0.5000  2 Bi 2.89
Sb2 0.5000 0.0000 0.0000  2 Bi 2.89


Density functional theory data (PBE) for an optimized crystal structure of InBiSe2N.

Calculated values
energy relative to the elements, uncorrected	0.607	eV per atom
density	6.8	Mg/m³
M_tot	0.297	μB/atom
calculated total energy	-3.78	eV/atom

a = 5.4360 Å, b = 5.4360 Å, c = 4.1114 Å
α = 90.00°, β = 90.00°, γ = 90.00°
Closest atoms and distances in Å follow each position.
Sites, in units of the cell vectors:
Se1 0.5000 0.0000 0.0000  2 In 2.72
Se2 0.0000 0.5000 0.0000  2 In 2.72
N1 0.0000 0.0000 0.5000  2 In 2.06
In1 0.0000 0.0000 0.0000  2 N 2.06
Bi1 0.5000 0.5000 0.5000  8 Se 3.41


Density functional theory data (PBE) for an optimized crystal structure of InBiSeN2.

Calculated values
energy relative to the elements, uncorrected	1.279	eV per atom
density	6.5	Mg/m³
M_tot	0.328	μB/atom
calculated total energy	-4.07	eV/atom

a = 4.3058 Å, b = 4.3058 Å, c = 5.9410 Å
α = 90.00°, β = 90.00°, γ = 90.00°
Closest atoms and distances in Å follow each position.
Sites, in units of the cell vectors:
N1 0.5000 0.0000 0.0000  2 Bi 2.15
N2 0.0000 0.5000 0.0000  2 Bi 2.15
In1 0.5000 0.5000 0.5000  4 Se 3.04
Se1 0.0000 0.0000 0.5000  2 Bi 2.97, 4 In 3.04
Bi1 0.0000 0.0000 0.0000  4 N 2.15


Density functional theory data (PBE) for an optimized crystal structure of InBiSe2N.

Calculated values
energy relative to the elements, uncorrected	0.731	eV per atom
density	5.9	Mg/m³
M_tot	0.361	μB/atom
calculated total energy	-3.65	eV/atom

a = 5.6037 Å, b = 5.6037 Å, c = 4.4503 Å
α = 90.00°, β = 90.00°, γ = 90.00°
Closest atoms and distances in Å follow each position.
Sites, in units of the cell vectors:
Se1 0.0000 0.5000 0.0000  2 Bi 2.80
Se2 0.5000 0.0000 0.0000  2 Bi 2.80
N1 0.0000 0.0000 0.5000  2 Bi 2.23
Bi1 0.0000 0.0000 0.0000  2 N 2.23
In1 0.5000 0.5000 0.5000  8 Se 3.58, 4 N 3.96


Which of these has the lowest density?
InBiSb2N